Material: HfFe2HPt
Method: DFT, PBE
State: relaxed

Cell lengths 3.821, 3.821, 4.099 Å; angles 90.00, 90.00, 90.00 degrees
Atoms (fractional coordinates):
Hf 0.000 0.000 0.000
Fe 0.000 0.500 0.500
Fe 0.500 0.000 0.500
H 0.000 0.000 0.500
Pt 0.500 0.500 0.000

Results
Relative energy among the computed polymorphs, eV/atom: 0.000
N(E_F), states/eV per cell: 4.09
Space-group type: P4/mmm (123)

---

Material: HfFeHPt2
Method: DFT, PBE
State: relaxed

Cell lengths 3.966, 3.966, 4.061 Å; angles 90.00, 90.00, 90.00 degrees
Atoms (fractional coordinates):
Hf 0.000 0.000 0.000
Fe 0.500 0.500 0.000
H 0.500 0.500 0.500
Pt 0.000 0.500 0.500
Pt 0.500 0.000 0.500

Results
N(E_F), states/eV per cell: 2.69
Total DFT energy (no corrections), eV for the cell shown: -36.30
Space-group type: P4/mmm (123)

---

Material: HfFe2HPt
Method: DFT, PBE
State: relaxed

Cell lengths 3.885, 3.885, 3.841 Å; angles 90.00, 90.00, 90.00 degrees
Atoms (fractional coordinates):
Hf 0.000 0.000 0.000
Fe 0.000 0.500 0.500
Fe 0.500 0.000 0.500
H 0.500 0.500 0.500
Pt 0.500 0.500 0.000

Results
Relative energy among the computed polymorphs, eV/atom: 0.104
N(E_F), states/eV per cell: 6.63
Space-group type: P4/mmm (123)